(1)
VASP calculation (PBE) on an optimized crystal structure of Mn2AlBr.

Output
Its energy above the lowest structure with this stoichiometry is 0.160 eV/atom. The electronic total energy comes out at -5.66 eV/atom. The value obtained for the formation energy without anion corrections is 0.27 eV/atom. As for the total magnetization: 15.036 μB/cell.

a b c (Å): 3.3383 5.2868 8.1765
angles (deg): 90.00 90.00 90.00
Fractional positions:
Mn (0.0000, 0.0000, 0.2391)
Mn (0.0000, 0.0000, 0.7609)
Mn (0.5000, 0.5000, 0.2391)
Mn (0.5000, 0.5000, 0.7609)
Al (0.0000, 0.5000, 0.0000)
Al (0.5000, 0.0000, 0.0000)
Br (0.0000, 0.5000, 0.5000)
Br (0.5000, 0.0000, 0.5000)


(2)
VASP calculation (PBE) on an optimized crystal structure of Mn2AlBr.

Output
Its energy above the lowest structure with this stoichiometry is 0.290 eV/atom. The electronic total energy comes out at -5.53 eV/atom. The value obtained for the formation energy without anion corrections is 0.40 eV/atom. As for the total magnetization: 14.771 μB/cell.

a b c (Å): 5.7607 7.7542 3.0708
angles (deg): 90.00 92.57 90.00
Fractional positions:
Mn (0.2500, 0.2500, 0.0000)
Mn (0.2500, 0.7500, 0.0000)
Mn (0.7500, 0.2500, 0.0000)
Mn (0.7500, 0.7500, 0.0000)
Al (0.0000, 0.0000, 0.5000)
Al (0.5000, 0.5000, 0.5000)
Br (0.0000, 0.5000, 0.5000)
Br (0.5000, 0.0000, 0.5000)


(3)
VASP calculation (PBE) on an optimized crystal structure of Rb2MnAlBr6.

Output
The electronic total energy comes out at -3.63 eV/atom. The value obtained for the formation energy without anion corrections is -1.14 eV/atom. As for the total magnetization: 4.292 μB/cell.

a b c (Å): 7.6119 7.6119 7.6119
angles (deg): 60.00 60.00 60.00
Fractional positions:
Rb (0.2500, 0.2500, 0.2500)
Rb (0.7500, 0.7500, 0.7500)
Mn (0.0000, 0.0000, 0.0000)
Al (0.5000, 0.5000, 0.5000)
Br (0.2501, 0.2501, 0.7499)
Br (0.2501, 0.7499, 0.2501)
Br (0.2501, 0.7499, 0.7499)
Br (0.7499, 0.2501, 0.2501)
Br (0.7499, 0.2501, 0.7499)
Br (0.7499, 0.7499, 0.2501)


(4)
VASP calculation (PBE) on an optimized crystal structure of RbMnAl2Br8.

Output
The electronic total energy comes out at -3.59 eV/atom. The value obtained for the formation energy without anion corrections is -1.01 eV/atom. As for the total magnetization: 4.190 μB/cell.

a b c (Å): 10.7889 10.7889 10.7889
angles (deg): 36.80 36.80 36.80
Fractional positions:
Rb (0.0000, 0.0000, 0.0000)
Mn (0.5000, 0.5000, 0.5000)
Al (0.2438, 0.2438, 0.2438)
Al (0.7562, 0.7562, 0.7562)
Br (0.1172, 0.7697, 0.4521)
Br (0.2303, 0.5479, 0.8828)
Br (0.3217, 0.3217, 0.3217)
Br (0.4521, 0.1172, 0.7697)
Br (0.5479, 0.8828, 0.2303)
Br (0.6783, 0.6783, 0.6783)
Br (0.7697, 0.4521, 0.1172)
Br (0.8828, 0.2303, 0.5479)


(5)
VASP calculation (PBE) on an optimized crystal structure of MnAlRuBr2.

Output
The electronic total energy comes out at -4.46 eV/atom. The value obtained for the formation energy without anion corrections is 0.64 eV/atom. As for the total magnetization: 4.823 μB/cell.

a b c (Å): 5.0926 5.0926 4.8408
angles (deg): 90.00 90.00 90.00
Fractional positions:
Mn (0.0000, 0.0000, 0.0000)
Al (0.5000, 0.5000, 0.0000)
Ru (0.0000, 0.0000, 0.5000)
Br (0.0000, 0.5000, 0.5000)
Br (0.5000, 0.0000, 0.5000)


(6)
VASP calculation (PBE) on an optimized crystal structure of MnAl2SBr.

Output
The electronic total energy comes out at -3.52 eV/atom. The value obtained for the formation energy without anion corrections is 0.97 eV/atom. As for the total magnetization: 4.000 μB/cell.

a b c (Å): 5.4356 5.4356 4.6293
angles (deg): 90.00 90.00 90.00
Fractional positions:
Mn (0.0000, 0.0000, 0.0000)
Al (0.0000, 0.5000, 0.5000)
Al (0.5000, 0.0000, 0.5000)
S (0.5000, 0.5000, 0.0000)
Br (0.0000, 0.0000, 0.5000)


(7)
VASP calculation (PBE) on an optimized crystal structure of MnAlSeBr2.

Output
Its energy above the lowest structure with this stoichiometry is 0.095 eV/atom. The electronic total energy comes out at -4.00 eV/atom. The value obtained for the formation energy without anion corrections is -0.05 eV/atom. As for the total magnetization: 5.528 μB/cell.

a b c (Å): 5.0545 5.0545 5.0555
angles (deg): 90.00 90.00 90.00
Fractional positions:
Mn (0.0000, 0.0000, 0.0000)
Al (0.5000, 0.5000, 0.5000)
Se (0.5000, 0.5000, 0.0000)
Br (0.0000, 0.5000, 0.5000)
Br (0.5000, 0.0000, 0.5000)


(8)
VASP calculation (PBE) on an optimized crystal structure of MnAlSeBr2.

Output
Its energy above the lowest structure with this stoichiometry is 0.000 eV/atom. The electronic total energy comes out at -4.10 eV/atom. The value obtained for the formation energy without anion corrections is -0.15 eV/atom. As for the total magnetization: 4.018 μB/cell.

a b c (Å): 5.1977 5.1977 4.9370
angles (deg): 90.00 90.00 90.00
Fractional positions:
Mn (0.0000, 0.0000, 0.0000)
Al (0.5000, 0.5000, 0.5000)
Se (0.0000, 0.0000, 0.5000)
Br (0.0000, 0.5000, 0.0000)
Br (0.5000, 0.0000, 0.0000)


(9)
VASP calculation (PBE) on an optimized crystal structure of MnAlSe2Br.

Output
Its energy above the lowest structure with this stoichiometry is 0.000 eV/atom. The electronic total energy comes out at -4.28 eV/atom. The value obtained for the formation energy without anion corrections is 0.03 eV/atom. As for the total magnetization: 5.019 μB/cell.

a b c (Å): 4.9507 4.9507 4.9598
angles (deg): 90.00 90.00 90.00
Fractional positions:
Mn (0.0000, 0.0000, 0.0000)
Al (0.5000, 0.5000, 0.5000)
Se (0.0000, 0.5000, 0.5000)
Se (0.5000, 0.0000, 0.5000)
Br (0.5000, 0.5000, 0.0000)


(10)
VASP calculation (PBE) on an optimized crystal structure of MnAlSe2Br.

Output
Its energy above the lowest structure with this stoichiometry is 0.033 eV/atom. The electronic total energy comes out at -4.24 eV/atom. The value obtained for the formation energy without anion corrections is 0.07 eV/atom. As for the total magnetization: 0.885 μB/cell.

a b c (Å): 4.5329 4.5329 5.2824
angles (deg): 90.00 90.00 90.00
Fractional positions:
Mn (0.0000, 0.0000, 0.0000)
Al (0.0000, 0.0000, 0.5000)
Se (0.0000, 0.5000, 0.0000)
Se (0.5000, 0.0000, 0.0000)
Br (0.5000, 0.5000, 0.5000)


(11)
VASP calculation (PBE) on an optimized crystal structure of MnAlSe2Br.

Output
Its energy above the lowest structure with this stoichiometry is 0.174 eV/atom. The electronic total energy comes out at -4.10 eV/atom. The value obtained for the formation energy without anion corrections is 0.21 eV/atom. As for the total magnetization: 0.000 μB/cell.

a b c (Å): 4.6284 4.6284 5.3874
angles (deg): 90.00 90.00 90.00
Fractional positions:
Mn (0.0000, 0.0000, 0.0000)
Al (0.5000, 0.5000, 0.5000)
Se (0.0000, 0.5000, 0.0000)
Se (0.5000, 0.0000, 0.0000)
Br (0.0000, 0.0000, 0.5000)


(12)
VASP calculation (PBE) on an optimized crystal structure of TaMnAlBr2.

Output
The electronic total energy comes out at -4.93 eV/atom. The value obtained for the formation energy without anion corrections is 0.69 eV/atom. As for the total magnetization: 4.693 μB/cell.

a b c (Å): 4.9967 4.9967 5.5316
angles (deg): 90.00 90.00 90.00
Fractional positions:
Ta (0.0000, 0.0000, 0.0000)
Mn (0.5000, 0.5000, 0.5000)
Al (0.0000, 0.0000, 0.5000)
Br (0.0000, 0.5000, 0.0000)
Br (0.5000, 0.0000, 0.0000)


(13)
VASP calculation (PBE) on an optimized crystal structure of AlMo2Br.

Output
Its energy above the lowest structure with this stoichiometry is 0.502 eV/atom. The electronic total energy comes out at -6.10 eV/atom. The value obtained for the formation energy without anion corrections is 0.67 eV/atom. As for the total magnetization: 0.000 μB/cell.

a b c (Å): 4.1862 4.1862 7.6578
angles (deg): 90.00 90.00 90.00
Fractional positions:
Al (0.0000, 0.0000, 0.0000)
Al (0.5000, 0.5000, 0.5000)
Mo (0.0000, 0.0000, 0.5000)
Mo (0.0000, 0.5000, 0.2500)
Mo (0.5000, 0.0000, 0.7500)
Mo (0.5000, 0.5000, 0.0000)
Br (0.0000, 0.5000, 0.7500)
Br (0.5000, 0.0000, 0.2500)


(14)
VASP calculation (PBE) on an optimized crystal structure of Al2MoBr.

Output
Its energy above the lowest structure with this stoichiometry is 0.244 eV/atom. The electronic total energy comes out at -4.69 eV/atom. The value obtained for the formation energy without anion corrections is 0.31 eV/atom. As for the total magnetization: 0.723 μB/cell.

a b c (Å): 4.9616 4.9616 2.9354
angles (deg): 90.00 90.00 90.00
Fractional positions:
Al (0.0000, 0.5000, 0.0000)
Al (0.5000, 0.0000, 0.0000)
Mo (0.0000, 0.0000, 0.5000)
Br (0.5000, 0.5000, 0.5000)


(15)
VASP calculation (PBE) on an optimized crystal structure of Al2MoBr.

Output
Its energy above the lowest structure with this stoichiometry is 0.091 eV/atom. The electronic total energy comes out at -4.84 eV/atom. The value obtained for the formation energy without anion corrections is 0.15 eV/atom. As for the total magnetization: 0.306 μB/cell.

a b c (Å): 3.0377 3.0377 30.0338
angles (deg): 90.00 90.00 120.00
Fractional positions:
Al (0.0000, 0.0000, 0.0000)
Al (0.0000, 0.0000, 0.2569)
Al (0.3333, 0.6667, 0.6667)
Al (0.3333, 0.6667, 0.9236)
Al (0.6667, 0.3333, 0.3333)
Al (0.6667, 0.3333, 0.5902)
Mo (0.0000, 0.0000, 0.5189)
Mo (0.3333, 0.6667, 0.1856)
Mo (0.6667, 0.3333, 0.8523)
Br (0.0000, 0.0000, 0.7894)
Br (0.3333, 0.6667, 0.4561)
Br (0.6667, 0.3333, 0.1228)